1.
# Th3Ge4Os2

A relaxed Th3Ge4Os2 crystal (PBE, the Alexandria database).

Cell: 10.9979 4.4189 8.4251 Å, 90.00 108.14 90.00°
Closest atoms and distances in Å follow each position.
Space group C2/m (No. 12)
Symmetry-distinct sites (fractional):
Th1 0.0000 0.0000 0.0000 (multiplicity 2)  6 Ge 3.09-3.18
Th2 0.1256 0.5000 0.6987 (multiplicity 4)  7 Ge 3.04-3.30, 4 Os 3.08-3.34
Ge1 0.0942 0.0000 0.3977 (multiplicity 4)  3 Os 2.49-2.58
Ge2 0.2067 0.5000 0.0786 (multiplicity 4)  1 Os 2.50
Os1 0.1897 0.5000 0.3676 (multiplicity 4)  4 Ge 2.49-2.58

As for the distance to the lowest polymorph of the same formula: 0.008 eV per atom. The value obtained for the total energy is -7.608 eV/atom.

2.
# Tb6Sm7Y16

A relaxed Tb6Sm7Y16 crystal (PBE, the Alexandria database).

Cell: 15.7034 15.7034 15.7034 Å, 90.00 90.00 90.00°
Closest atoms and distances in Å follow each position.
Space group Fm-3m (No. 225)
Symmetry-distinct sites (fractional):
Tb1 0.0000 0.0000 0.2231 (multiplicity 24)  1 Sm 3.50, 8 Y 3.51-3.60
Sm1 0.0000 0.0000 0.0000 (multiplicity 4)  6 Tb 3.50
Sm2 0.0000 0.2500 0.2500 (multiplicity 24)  8 Y 3.24-3.52
Y1 0.1134 0.1134 0.3866 (multiplicity 32)  3 Sm 3.52, 6 Y 3.56-3.81, 3 Tb 3.60
Y2 0.1493 0.1493 0.1493 (multiplicity 32)  3 Sm 3.24, 3 Tb 3.51

The value obtained for the total energy is -5.485 eV/atom.

3.
# ReRhAu2Se

A relaxed ReRhAu2Se crystal (PBE, the Alexandria database).

Cell: 5.0957 5.0957 4.5458 Å, 90.00 90.00 90.00°
Closest atoms and distances in Å follow each position.
Space group P4/mmm (No. 123)
Symmetry-distinct sites (fractional):
Re1 0.0000 0.0000 0.0000 (multiplicity 1)  2 Se 2.27
Rh1 0.5000 0.5000 0.5000 (multiplicity 1)  8 Au 3.41, 4 Se 3.60
Au1 0.0000 0.5000 0.0000 (multiplicity 2)  2 Re 2.55
Se1 0.0000 0.0000 0.5000 (multiplicity 1)  2 Re 2.27

The value obtained for the total energy is -4.707 eV/atom. The formation energy from raw total energies comes out at 1.2604 eV/atom.

4.
# HgAs2F8

A relaxed HgAs2F8 crystal (PBE, the Alexandria database).

Cell: 10.2283 5.9845 6.6962 Å, 90.00 102.47 90.00°
Closest atoms and distances in Å follow each position.
Space group C2/m (No. 12)
Symmetry-distinct sites (fractional):
Hg1 0.0000 0.0000 0.0000 (multiplicity 2)  2 F 2.01
As1 0.2446 0.5000 0.3382 (multiplicity 4)  3 F 1.78
F1 0.1235 0.0000 0.2777 (multiplicity 4)  1 Hg 2.01
F2 0.1440 0.2133 0.7049 (multiplicity 8)  1 As 1.78
F3 0.1506 0.5000 0.0814 (multiplicity 4)  1 As 1.78

As for the distance to the lowest polymorph of the same formula: 0.008 eV per atom. The value obtained for the total energy is -4.130 eV/atom. The formation energy from raw total energies comes out at -1.8967 eV/atom.

5.
# RbNpUTe4

A relaxed RbNpUTe4 crystal (PBE, the Alexandria database).

Cell: 9.4841 9.6422 13.4789 Å, 90.00 90.00 90.00°
Closest atoms and distances in Å follow each position.
Space group Imma (No. 74)
Symmetry-distinct sites (fractional):
Rb1 0.0000 0.2500 0.1266 (multiplicity 4)  4 Te 3.40
Np1 0.0000 0.0000 0.5000 (multiplicity 4)  6 Te 3.15-3.16
U1 0.2500 0.2500 0.7500 (multiplicity 4)  6 Te 3.09-3.11
Te1 0.0000 0.0430 0.7324 (multiplicity 8)  2 U 3.11, 1 Np 3.16, 1 Rb 3.40
Te2 0.2111 0.2500 0.5223 (multiplicity 8)  1 U 3.09, 2 Np 3.15, 1 Rb 3.40

The value obtained for the total energy is -6.083 eV/atom. The formation energy from raw total energies comes out at -0.6885 eV/atom.

6.
# Mg2ZrCu2

A relaxed Mg2ZrCu2 crystal (PBE, the Alexandria database).

Cell: 7.8144 7.8144 2.7909 Å, 90.00 90.00 90.00°
Closest atoms and distances in Å follow each position.
Space group P4/mbm (No. 127)
Symmetry-distinct sites (fractional):
Mg1 0.1281 0.3719 0.0000 (multiplicity 4)  6 Cu 2.63-2.74, 3 Mg 2.79-2.83
Zr1 0.0000 0.0000 0.0000 (multiplicity 2)  2 Zr 2.79, 4 Mg 3.07
Cu1 0.1707 0.6707 0.5000 (multiplicity 4)  6 Mg 2.63-2.74, 2 Cu 2.79

As for the distance to the lowest polymorph of the same formula: 0.006 eV per atom. The value obtained for the total energy is -3.965 eV/atom.

7.
# Zr2AlCoAu

A relaxed Zr2AlCoAu crystal (PBE, the Alexandria database).

Cell: 4.6594 4.6594 4.8227 Å, 90.00 90.00 90.00°
Closest atoms and distances in Å follow each position.
Space group P4/mmm (No. 123)
Symmetry-distinct sites (fractional):
Zr1 0.0000 0.5000 0.0000 (multiplicity 2)  2 Co 2.33
Al1 0.0000 0.0000 0.5000 (multiplicity 1)  4 Au 3.29, 8 Zr 3.35
Co1 0.5000 0.5000 0.0000 (multiplicity 1)  4 Zr 2.33, 2 Au 2.41
Au1 0.5000 0.5000 0.5000 (multiplicity 1)  2 Co 2.41

The value obtained for the total energy is -6.093 eV/atom.

8.
# KLa2Si2

A relaxed KLa2Si2 crystal (PBE, the Alexandria database).

Cell: 5.5001 5.5001 12.2946 Å, 90.00 90.00 90.00°
Closest atoms and distances in Å follow each position.
Space group I4/mmm (No. 139)
Symmetry-distinct sites (fractional):
K1 0.0000 0.0000 0.0000 (multiplicity 2)  10 La 4.07-4.41, 8 Si 4.12
La1 0.0000 0.0000 0.3309 (multiplicity 4)  4 Si 2.92
Si1 0.0000 0.5000 0.2500 (multiplicity 4)  4 La 2.92

The value obtained for the total energy is -4.431 eV/atom. The formation energy from raw total energies comes out at -0.0708 eV/atom.

9.
# PrMn5Co7

A relaxed PrMn5Co7 crystal (PBE, the Alexandria database).

Cell: 4.5947 8.4926 8.4305 Å, 90.00 90.00 90.00°
Closest atoms and distances in Å follow each position.
Space group Imm2 (No. 44)
Symmetry-distinct sites (fractional):
Pr1 0.0000 0.0000 0.0000 (multiplicity 2)  10 Co 3.00-3.07, 10 Mn 3.02-3.22
Mn1 0.0000 0.5000 0.7325 (multiplicity 2)  4 Mn 2.45, 4 Co 2.54-2.55
Mn2 0.2468 0.2529 0.2508 (multiplicity 8)  3 Mn 2.27-2.45, 3 Co 2.39-2.41
Co1 0.0000 0.0000 0.3638 (multiplicity 2)  3 Co 2.35-2.53, 6 Mn 2.55-2.61
Co2 0.0000 0.0000 0.6428 (multiplicity 2)  5 Co 2.35-2.54, 4 Mn 2.57
Co3 0.0000 0.2643 0.5026 (multiplicity 4)  4 Mn 2.40-2.41, 4 Co 2.53-2.54
Co4 0.0000 0.3609 0.9987 (multiplicity 4)  4 Co 2.36-2.59, 5 Mn 2.54-2.58
Co5 0.0000 0.5000 0.2720 (multiplicity 2)  4 Mn 2.39, 4 Co 2.54-2.59

The value obtained for the total energy is -7.629 eV/atom.

10.
# Ba4NaTlIn2

A relaxed Ba4NaTlIn2 crystal (PBE, the Alexandria database).

Cell: 6.1315 6.1315 30.0619 Å, 90.00 90.00 120.00°
Closest atoms and distances in Å follow each position.
Space group R-3m (No. 166, hexagonal axes)
Symmetry-distinct sites (fractional):
Ba1 0.0000 0.0000 0.1204 (multiplicity 6)  1 Tl 3.62, 4 In 3.69-3.82, 3 Na 3.80
Ba2 0.0000 0.0000 0.3710 (multiplicity 6)  4 In 3.71-3.82, 3 Tl 3.72, 1 Na 3.88
Na1 0.0000 0.0000 0.5000 (multiplicity 3)  8 Ba 3.80-3.88
Tl1 0.0000 0.0000 0.0000 (multiplicity 3)  8 Ba 3.62-3.72
In1 0.0000 0.0000 0.2475 (multiplicity 6)  8 Ba 3.69-3.82

The value obtained for the total energy is -2.421 eV/atom.

11.
# Zr2TaCrRu

A relaxed Zr2TaCrRu crystal (PBE, the Alexandria database).

Cell: 5.0901 5.0901 4.2945 Å, 90.00 90.00 90.00°
Closest atoms and distances in Å follow each position.
Space group P4/mmm (No. 123)
Symmetry-distinct sites (fractional):
Zr1 0.0000 0.5000 0.0000 (multiplicity 2)  2 Ta 2.55
Ta1 0.0000 0.0000 0.0000 (multiplicity 1)  2 Cr 2.15
Cr1 0.0000 0.0000 0.5000 (multiplicity 1)  2 Ta 2.15
Ru1 0.5000 0.5000 0.5000 (multiplicity 1)  8 Zr 3.33, 4 Cr 3.60

The value obtained for the total energy is -8.099 eV/atom.

12.
# NdDy2ScSe6

A relaxed NdDy2ScSe6 crystal (PBE, the Alexandria database).

Cell: 7.1759 7.1759 19.3293 Å, 90.00 90.00 120.00°
Closest atoms and distances in Å follow each position.
Space group R3 (No. 146, hexagonal axes)
Symmetry-distinct sites (fractional):
Nd1 0.0000 0.0000 0.0000 (multiplicity 3)  6 Se 2.91-3.02
Dy1 0.0000 0.0000 0.2971 (multiplicity 3)  6 Se 2.86-2.90
Dy2 0.0000 0.0000 0.8026 (multiplicity 3)  6 Se 2.83-2.91
Sc1 0.0000 0.0000 0.4925 (multiplicity 3)  6 Se 2.74-2.76
Se1 0.0112 0.7119 0.4001 (multiplicity 9)  1 Sc 2.76, 2 Dy 2.83-2.90, 1 Nd 2.91
Se2 0.0261 0.3425 0.5635 (multiplicity 9)  1 Sc 2.74, 2 Dy 2.86-2.91, 1 Nd 3.02

The value obtained for the total energy is -5.908 eV/atom. The formation energy from raw total energies comes out at -1.7873 eV/atom.

13.
# TbPrNdHg

A relaxed TbPrNdHg crystal (PBE, the Alexandria database).

Cell: 3.7115 3.7115 9.0188 Å, 90.00 90.00 90.00°
Closest atoms and distances in Å follow each position.
Space group P4mm (No. 99)
Symmetry-distinct sites (fractional):
Tb1 0.0000 0.0000 0.0000 (multiplicity 1)  4 Hg 3.20
Pr1 0.5000 0.5000 0.7217 (multiplicity 1)  4 Tb 3.63, 4 Nd 3.69, 4 Pr 3.71
Nd1 0.0000 0.0000 0.4344 (multiplicity 1)  4 Hg 3.35, 4 Pr 3.69, 4 Nd 3.71
Hg1 0.5000 0.5000 0.2031 (multiplicity 1)  4 Tb 3.20, 4 Nd 3.35

As for the distance to the lowest polymorph of the same formula: 0.000 eV per atom. The value obtained for the total energy is -3.853 eV/atom.

14.
# Th3TeRuSe

A relaxed Th3TeRuSe crystal (PBE, the Alexandria database).

Cell: 8.1800 4.1931 10.2711 Å, 90.00 112.08 90.00°
Closest atoms and distances in Å follow each position.
Space group P2_1/m (No. 11)
Symmetry-distinct sites (fractional):
Th1 0.1647 0.2500 0.1355 (multiplicity 2)  3 Ru 2.84-2.99
Th2 0.2781 0.7500 0.4828 (multiplicity 2)  3 Se 3.01-3.13, 2 Te 3.25, 1 Ru 3.25
Th3 0.3095 0.7500 0.8976 (multiplicity 2)  2 Ru 2.91, 1 Se 2.94
Te1 0.4905 0.2500 0.7303 (multiplicity 2)  8 Th 3.25-3.55
Ru1 0.0440 0.2500 0.8226 (multiplicity 2)  2 Se 2.82, 5 Th 2.84-2.99
Se1 0.0045 0.7500 0.6295 (multiplicity 2)  2 Ru 2.82, 4 Th 2.94-3.13

The value obtained for the total energy is -7.241 eV/atom. The formation energy from raw total energies comes out at -0.8811 eV/atom.

15.
# BeCu3

A relaxed BeCu3 crystal (PBE, the Alexandria database).

Cell: 5.0264 6.8989 2.5590 Å, 90.00 90.00 90.00°
Closest atoms and distances in Å follow each position.
Space group Cmmm (No. 65)
Symmetry-distinct sites (fractional):
Be1 0.0000 0.0000 0.0000 (multiplicity 2)  10 Cu 2.49-2.51, 2 Be 2.56
Cu1 0.0000 0.5000 0.0000 (multiplicity 2)  10 Cu 2.49-2.56, 2 Be 2.51
Cu2 0.2500 0.2500 0.5000 (multiplicity 4)  4 Be 2.49, 8 Cu 2.49-2.56

The value obtained for the total energy is -3.986 eV/atom.

16.
# PmTmTe2

A relaxed PmTmTe2 crystal (PBE, the Alexandria database).

Cell: 4.3224 4.3224 22.1039 Å, 90.00 90.00 120.00°
Closest atoms and distances in Å follow each position.
Space group R-3m (No. 166, hexagonal axes)
Symmetry-distinct sites (fractional):
Pm1 0.0000 0.0000 0.0000 (multiplicity 3)  6 Te 3.17
Tm1 0.0000 0.0000 0.5000 (multiplicity 3)  6 Te 3.04
Te1 0.0000 0.0000 0.2451 (multiplicity 6)  3 Tm 3.04, 3 Pm 3.17

As for the distance to the lowest polymorph of the same formula: 0.034 eV per atom. The value obtained for the total energy is -5.172 eV/atom. The formation energy from raw total energies comes out at -1.2960 eV/atom.

17.
# Li3Pr2Mg6

A relaxed Li3Pr2Mg6 crystal (PBE, the Alexandria database).

Cell: 8.3671 8.3671 4.6439 Å, 90.00 90.00 120.00°
Closest atoms and distances in Å follow each position.
Space group P-62m (No. 189)
Symmetry-distinct sites (fractional):
Li1 0.0000 0.5887 0.0000 (multiplicity 3)  5 Mg 2.75-3.02
Pr1 0.3333 0.6667 0.5000 (multiplicity 2)  3 Mg 3.41, 6 Li 3.43
Mg1 0.0000 0.2604 0.0000 (multiplicity 3)  3 Li 2.75-3.02, 4 Mg 3.07
Mg2 0.0000 0.7883 0.5000 (multiplicity 3)  2 Li 2.86, 6 Mg 3.07

The value obtained for the total energy is -2.196 eV/atom.

18.
# CsSrPrI6

A relaxed CsSrPrI6 crystal (PBE, the Alexandria database).

Cell: 8.4159 8.4159 16.7792 Å, 90.00 90.00 120.00°
Closest atoms and distances in Å follow each position.
Space group P-31c (No. 163)
Symmetry-distinct sites (fractional):
Cs1 0.0000 0.0000 0.0000 (multiplicity 2)  6 I 3.93
Sr1 0.3333 0.6667 0.2500 (multiplicity 2)  6 I 3.30
Pr1 0.3333 0.6667 0.7500 (multiplicity 2)  6 I 3.17
I1 0.0126 0.3824 0.6391 (multiplicity 12)  1 Pr 3.17, 1 Sr 3.30

The value obtained for the total energy is -3.408 eV/atom. The formation energy from raw total energies comes out at -1.5614 eV/atom.

19.
# KNaAsPd2

A relaxed KNaAsPd2 crystal (PBE, the Alexandria database).

Cell: 4.8421 4.8421 5.3774 Å, 90.00 90.00 90.00°
Closest atoms and distances in Å follow each position.
Space group P4/mmm (No. 123)
Symmetry-distinct sites (fractional):
K1 0.0000 0.0000 0.0000 (multiplicity 1)  4 Na 3.42, 8 Pd 3.62
Na1 0.5000 0.5000 0.0000 (multiplicity 1)  2 As 2.69
As1 0.5000 0.5000 0.5000 (multiplicity 1)  4 Pd 2.42, 2 Na 2.69
Pd1 0.0000 0.5000 0.5000 (multiplicity 2)  2 As 2.42

The value obtained for the total energy is -3.697 eV/atom.

20.
# YPtW4

A relaxed YPtW4 crystal (PBE, the Alexandria database).

Cell: 7.6168 7.6168 7.6168 Å, 90.00 90.00 90.00°
Closest atoms and distances in Å follow each position.
Space group F-43m (No. 216)
Symmetry-distinct sites (fractional):
Y1 0.0000 0.0000 0.0000 (multiplicity 4)  12 W 3.15, 4 Pt 3.30
Pt1 0.2500 0.2500 0.7500 (multiplicity 4)  12 W 3.16, 4 Y 3.30
W1 0.1266 0.1266 0.3734 (multiplicity 16)  6 W 2.66-2.73

The value obtained for the total energy is -10.448 eV/atom.

21.
# Pm5ThTl3

A relaxed Pm5ThTl3 crystal (PBE, the Alexandria database).

Cell: 9.6422 9.6422 6.8083 Å, 90.00 90.00 120.00°
Closest atoms and distances in Å follow each position.
Space group P6_3/mcm (No. 193)
Symmetry-distinct sites (fractional):
Pm1 0.0000 0.3257 0.2500 (multiplicity 6)  5 Tl 3.21-3.41, 2 Th 3.57
Pm2 0.3333 0.6667 0.0000 (multiplicity 4)  8 Pm 3.40-3.67, 6 Tl 3.60
Th1 0.0000 0.0000 0.0000 (multiplicity 2)  2 Th 3.40, 6 Pm 3.57, 6 Tl 3.70
Tl1 0.0000 0.3410 0.7500 (multiplicity 6)  5 Pm 3.21-3.41

The value obtained for the total energy is -4.485 eV/atom.

22.
# Tb6Rh2PbSe3

A relaxed Tb6Rh2PbSe3 crystal (PBE, the Alexandria database).

Cell: 18.9035 4.0319 8.6342 Å, 90.00 110.86 90.00°
Closest atoms and distances in Å follow each position.
Space group C2/m (No. 12)
Symmetry-distinct sites (fractional):
Tb1 0.0018 0.0000 0.2311 (multiplicity 4)  3 Se 2.83-2.89, 1 Rh 2.91, 2 Pb 3.08
Tb2 0.1758 0.5000 0.5945 (multiplicity 4)  2 Rh 2.81, 3 Se 2.84-3.04, 1 Pb 3.13
Tb3 0.1807 0.5000 0.0514 (multiplicity 4)  3 Rh 2.86-2.87, 2 Se 3.19
Rh1 0.1569 0.0000 0.8038 (multiplicity 4)  6 Tb 2.81-2.91
Pb1 0.0000 0.5000 0.5000 (multiplicity 2)  6 Tb 3.08-3.13
Se1 0.0000 0.5000 0.0000 (multiplicity 2)  4 Tb 2.83
Se2 0.1645 0.0000 0.3226 (multiplicity 4)  4 Tb 2.84-3.04

The value obtained for the total energy is -5.910 eV/atom. The formation energy from raw total energies comes out at -1.1894 eV/atom.